# 1
# Na3Ga9Ir2 | Alexandria | PBE | relaxed
data_Na3Ga9Ir2
_space_group_name_H-M_alt 'P 1'
_space_group_IT_number 1
_cell_length_a 4.2583
_cell_length_b 8.1451
_cell_length_c 8.1451
_cell_angle_alpha 73.04
_cell_angle_beta 74.85
_cell_angle_gamma 74.85
loop_
_space_group_symop_operation_xyz
'x,y,z'
loop_
_atom_site_label
_atom_site_type_symbol
_atom_site_fract_x
_atom_site_fract_y
_atom_site_fract_z
_atom_site_occupancy
Ga1 Ga 0.6545 0.7056 0.9854 1
Ga2 Ga 0.8686 0.4199 0.8430 1
Ga3 Ga 0.8686 0.8430 0.4199 1
Ga4 Ga 0.3455 0.0146 0.2944 1
Ga5 Ga 0.6545 0.9854 0.7056 1
Ga6 Ga 0.0000 0.5000 0.5000 1
Ga7 Ga 0.1314 0.5801 0.1570 1
Ga8 Ga 0.1314 0.1570 0.5801 1
Ga9 Ga 0.3455 0.2944 0.0146 1
Ir1 Ir 0.5000 0.6748 0.3252 1
Ir2 Ir 0.5000 0.3252 0.6748 1
Na1 Na 0.2937 0.7063 0.7063 1
Na2 Na 0.7063 0.2937 0.2937 1
Na3 Na 0.0000 0.0000 0.0000 1
# VASP energy: -3.68 eV per atom
# energy of formation from the pure elements: -0.189 eV per atom
# total magnetization: 0.00 μB per cell

# 2
# Tb5Sm2YTh | Alexandria | PBE | relaxed
data_Tb5Sm2YTh
_space_group_name_H-M_alt 'P 1'
_space_group_IT_number 1
_cell_length_a 5.7396
_cell_length_b 11.1444
_cell_length_c 9.8187
_cell_angle_alpha 90.00
_cell_angle_beta 90.00
_cell_angle_gamma 104.92
loop_
_space_group_symop_operation_xyz
'x,y,z'
loop_
_atom_site_label
_atom_site_type_symbol
_atom_site_fract_x
_atom_site_fract_y
_atom_site_fract_z
_atom_site_occupancy
Sm1 Sm 0.8849 0.7698 0.8288 1
Sm2 Sm 0.8707 0.7415 0.2108 1
Sm3 Sm 0.1293 0.2585 0.7108 1
Sm4 Sm 0.1151 0.2302 0.3288 1
Tb1 Tb 0.6020 0.2040 0.5416 1
Tb2 Tb 0.2713 0.5426 0.3256 1
Tb3 Tb 0.3980 0.7960 0.0416 1
Tb4 Tb 0.9851 0.9702 0.5163 1
Tb5 Tb 0.6949 0.3899 0.2170 1
Tb6 Tb 0.3051 0.6101 0.7170 1
Tb7 Tb 0.7287 0.4574 0.8256 1
Tb8 Tb 0.5304 0.0608 0.2422 1
Tb9 Tb 0.4696 0.9392 0.7422 1
Tb10 Tb 0.0149 0.0298 0.0163 1
Th1 Th 0.5950 0.1899 0.9249 1
Th2 Th 0.4050 0.8101 0.4249 1
Y1 Y 0.8091 0.6182 0.5167 1
Y2 Y 0.1909 0.3818 0.0167 1
# VASP energy: -5.00 eV per atom
# energy of formation from the pure elements: 0.159 eV per atom
# total magnetization: 0.00 μB per cell

# 3
# Ni2MoBr | Alexandria | PBE | relaxed
data_Ni2MoBr
_space_group_name_H-M_alt 'P 1'
_space_group_IT_number 1
_cell_length_a 6.8046
_cell_length_b 6.8046
_cell_length_c 5.4511
_cell_angle_alpha 51.38
_cell_angle_beta 51.38
_cell_angle_gamma 90.00
loop_
_space_group_symop_operation_xyz
'x,y,z'
loop_
_atom_site_label
_atom_site_type_symbol
_atom_site_fract_x
_atom_site_fract_y
_atom_site_fract_z
_atom_site_occupancy
Ni1 Ni 0.1322 0.6250 0.2500 1
Ni2 Ni 0.6178 0.1250 0.2500 1
Ni3 Ni 0.3750 0.3822 0.7500 1
Ni4 Ni 0.8750 0.8678 0.7500 1
Br1 Br 0.2500 0.7500 0.5000 1
Br2 Br 0.5000 0.5000 0.0000 1
Mo1 Mo 0.7500 0.2500 0.5000 1
Mo2 Mo 0.0000 0.0000 0.0000 1
# energy above the lowest structure with this stoichiometry: 369 meV/atom
# raw formation energy: 701.7 meV per atom
# VASP energy: -5.31 eV per atom
# total magnetization: 0.01 μB per cell

# 4
# NdGa3Ir2 | Alexandria | PBE | relaxed
data_NdGa3Ir2
_space_group_name_H-M_alt 'P 1'
_space_group_IT_number 1
_cell_length_a 4.0757
_cell_length_b 8.4288
_cell_length_c 10.2391
_cell_angle_alpha 105.46
_cell_angle_beta 90.00
_cell_angle_gamma 103.99
loop_
_space_group_symop_operation_xyz
'x,y,z'
loop_
_atom_site_label
_atom_site_type_symbol
_atom_site_fract_x
_atom_site_fract_y
_atom_site_fract_z
_atom_site_occupancy
Ga1 Ga 0.9338 0.8677 0.6240 1
Ga2 Ga 0.6395 0.2790 0.9306 1
Ga3 Ga 0.0662 0.1323 0.3760 1
Ga4 Ga 0.6424 0.2849 0.1795 1
Ga5 Ga 0.2251 0.4501 0.3313 1
Ga6 Ga 0.5000 0.0000 0.5000 1
Ga7 Ga 0.3576 0.7151 0.8205 1
Ga8 Ga 0.7749 0.5499 0.6687 1
Ga9 Ga 0.3605 0.7210 0.0694 1
Ir1 Ir 0.4993 0.9986 0.7558 1
Ir2 Ir 0.6672 0.3343 0.4436 1
Ir3 Ir 0.3328 0.6657 0.5564 1
Ir4 Ir 0.7916 0.5833 0.9244 1
Ir5 Ir 0.5007 0.0014 0.2442 1
Ir6 Ir 0.2084 0.4167 0.0756 1
Nd1 Nd 0.0000 0.0000 0.0000 1
Nd2 Nd 0.1404 0.2807 0.7060 1
Nd3 Nd 0.8596 0.7193 0.2940 1
# VASP energy: -5.89 eV per atom
# energy of formation from the pure elements: -0.630 eV per atom
# total magnetization: 0.00 μB per cell

# 5
# AgBiF5 | Alexandria | PBE | relaxed
data_AgBiF5
_space_group_name_H-M_alt 'P 1'
_space_group_IT_number 1
_cell_length_a 6.0093
_cell_length_b 6.0093
_cell_length_c 8.6685
_cell_angle_alpha 68.64
_cell_angle_beta 68.64
_cell_angle_gamma 72.48
loop_
_space_group_symop_operation_xyz
'x,y,z'
loop_
_atom_site_label
_atom_site_type_symbol
_atom_site_fract_x
_atom_site_fract_y
_atom_site_fract_z
_atom_site_occupancy
F1 F 0.6830 0.2873 0.9544 1
F2 F 0.8992 0.1008 0.2500 1
F3 F 0.7744 0.7191 0.1321 1
F4 F 0.7191 0.7744 0.6321 1
F5 F 0.2873 0.6830 0.4544 1
F6 F 0.1008 0.8992 0.7500 1
F7 F 0.7127 0.3170 0.5456 1
F8 F 0.2809 0.2256 0.3679 1
F9 F 0.3170 0.7127 0.0456 1
F10 F 0.2256 0.2809 0.8679 1
Ag1 Ag 0.5271 0.4729 0.2500 1
Ag2 Ag 0.4729 0.5271 0.7500 1
Bi1 Bi 0.0000 0.0000 0.0000 1
Bi2 Bi 0.0000 0.0000 0.5000 1
# energy above the lowest structure with this stoichiometry: 40 meV/atom
# raw formation energy: -1840.4 meV per atom
# VASP energy: -4.14 eV per atom
# total magnetization: 0.00 μB per cell

# 6
# Ca12Se3N5 | Alexandria | PBE | relaxed
data_Ca12Se3N5
_space_group_name_H-M_alt 'P 1'
_space_group_IT_number 1
_cell_length_a 13.5293
_cell_length_b 13.5293
_cell_length_c 13.5293
_cell_angle_alpha 109.47
_cell_angle_beta 109.47
_cell_angle_gamma 109.47
loop_
_space_group_symop_operation_xyz
'x,y,z'
loop_
_atom_site_label
_atom_site_type_symbol
_atom_site_fract_x
_atom_site_fract_y
_atom_site_fract_z
_atom_site_occupancy
N1 N 0.5000 0.5000 0.0000 1
N2 N 0.8750 0.6250 0.7500 1
N3 N 0.5000 0.5000 0.5000 1
N4 N 0.1250 0.7500 0.3750 1
N5 N 0.6250 0.8750 0.2500 1
N6 N 0.0000 0.5000 0.5000 1
N7 N 0.7500 0.6250 0.3750 1
N8 N 0.7500 0.1250 0.8750 1
N9 N 0.5000 0.0000 0.0000 1
N10 N 0.5000 0.0000 0.5000 1
N11 N 0.6250 0.7500 0.8750 1
N12 N 0.0000 0.0000 0.5000 1
N13 N 0.0000 0.0000 0.0000 1
N14 N 0.3750 0.2500 0.1250 1
N15 N 0.8750 0.2500 0.6250 1
N16 N 0.2500 0.3750 0.6250 1
N17 N 0.0000 0.5000 0.0000 1
N18 N 0.2500 0.8750 0.1250 1
N19 N 0.3750 0.1250 0.7500 1
N20 N 0.1250 0.3750 0.2500 1
Se1 Se 0.2500 0.6250 0.8750 1
Se2 Se 0.3750 0.6250 0.2500 1
Se3 Se 0.7500 0.3750 0.1250 1
Se4 Se 0.2500 0.1250 0.3750 1
Se5 Se 0.3750 0.7500 0.6250 1
Se6 Se 0.1250 0.2500 0.8750 1
Se7 Se 0.8750 0.7500 0.1250 1
Se8 Se 0.6250 0.3750 0.7500 1
Se9 Se 0.7500 0.8750 0.6250 1
Se10 Se 0.6250 0.2500 0.3750 1
Se11 Se 0.1250 0.8750 0.7500 1
Se12 Se 0.8750 0.1250 0.2500 1
Ca1 Ca 0.1163 0.4188 0.1015 1
Ca2 Ca 0.6827 0.1975 0.5812 1
Ca3 Ca 0.5148 0.3173 0.8985 1
Ca4 Ca 0.8025 0.3173 0.9188 1
Ca5 Ca 0.0812 0.8985 0.3837 1
Ca6 Ca 0.0812 0.1827 0.1975 1
Ca7 Ca 0.8837 0.5812 0.8985 1
Ca8 Ca 0.5148 0.1975 0.1163 1
Ca9 Ca 0.3985 0.3837 0.5812 1
Ca10 Ca 0.4852 0.6827 0.1015 1
Ca11 Ca 0.3025 0.4188 0.8173 1
Ca12 Ca 0.4188 0.1163 0.6015 1
Ca13 Ca 0.1015 0.9188 0.1163 1
Ca14 Ca 0.6163 0.6015 0.9188 1
Ca15 Ca 0.3173 0.8025 0.4188 1
Ca16 Ca 0.1975 0.5148 0.6163 1
Ca17 Ca 0.9188 0.1015 0.6163 1
Ca18 Ca 0.9852 0.3837 0.3025 1
Ca19 Ca 0.3837 0.9852 0.8025 1
Ca20 Ca 0.3025 0.8837 0.9852 1
Ca21 Ca 0.8173 0.8985 0.0148 1
Ca22 Ca 0.1015 0.1827 0.4852 1
Ca23 Ca 0.8837 0.3025 0.4852 1
Ca24 Ca 0.6163 0.0148 0.1975 1
Ca25 Ca 0.3173 0.5148 0.3985 1
Ca26 Ca 0.0148 0.3985 0.8173 1
Ca27 Ca 0.8025 0.4852 0.3837 1
Ca28 Ca 0.5812 0.8837 0.3985 1
Ca29 Ca 0.8985 0.0812 0.8837 1
Ca30 Ca 0.3985 0.0148 0.3173 1
Ca31 Ca 0.8173 0.9188 0.3025 1
Ca32 Ca 0.1827 0.0812 0.6975 1
Ca33 Ca 0.4852 0.8025 0.8837 1
Ca34 Ca 0.6827 0.4852 0.6015 1
Ca35 Ca 0.9852 0.6015 0.1827 1
Ca36 Ca 0.3837 0.3985 0.0812 1
Ca37 Ca 0.6975 0.5812 0.1827 1
Ca38 Ca 0.9188 0.8173 0.8025 1
Ca39 Ca 0.5812 0.6975 0.6827 1
Ca40 Ca 0.4188 0.3025 0.3173 1
Ca41 Ca 0.6015 0.6163 0.4188 1
Ca42 Ca 0.6975 0.1163 0.0148 1
Ca43 Ca 0.1827 0.1015 0.9852 1
Ca44 Ca 0.8985 0.8173 0.5148 1
Ca45 Ca 0.1163 0.6975 0.5148 1
Ca46 Ca 0.6015 0.9852 0.6827 1
Ca47 Ca 0.1975 0.6827 0.0812 1
Ca48 Ca 0.0148 0.6163 0.6975 1
# raw formation energy: -991.8 meV per atom
# VASP energy: -4.80 eV per atom
# total magnetization: 0.00 μB per cell

Repeat the first record exactly.
# Na3Ga9Ir2 | Alexandria | PBE | relaxed
data_Na3Ga9Ir2
_space_group_name_H-M_alt 'P 1'
_space_group_IT_number 1
_cell_length_a 4.2583
_cell_length_b 8.1451
_cell_length_c 8.1451
_cell_angle_alpha 73.04
_cell_angle_beta 74.85
_cell_angle_gamma 74.85
loop_
_space_group_symop_operation_xyz
'x,y,z'
loop_
_atom_site_label
_atom_site_type_symbol
_atom_site_fract_x
_atom_site_fract_y
_atom_site_fract_z
_atom_site_occupancy
Ga1 Ga 0.6545 0.7056 0.9854 1
Ga2 Ga 0.8686 0.4199 0.8430 1
Ga3 Ga 0.8686 0.8430 0.4199 1
Ga4 Ga 0.3455 0.0146 0.2944 1
Ga5 Ga 0.6545 0.9854 0.7056 1
Ga6 Ga 0.0000 0.5000 0.5000 1
Ga7 Ga 0.1314 0.5801 0.1570 1
Ga8 Ga 0.1314 0.1570 0.5801 1
Ga9 Ga 0.3455 0.2944 0.0146 1
Ir1 Ir 0.5000 0.6748 0.3252 1
Ir2 Ir 0.5000 0.3252 0.6748 1
Na1 Na 0.2937 0.7063 0.7063 1
Na2 Na 0.7063 0.2937 0.2937 1
Na3 Na 0.0000 0.0000 0.0000 1
# VASP energy: -3.68 eV per atom
# energy of formation from the pure elements: -0.189 eV per atom
# total magnetization: 0.00 μB per cell

> What is the formula in the first record?

Na3Ga9Ir2